48
Lattice="7.385 0.000 0.000 0.000 6.380 0.000 -3.167 0.000 12.000" Properties=species:S:1:pos:R:3 comment="Li3Cu5O4, single point on PBEsol structure, DFT SCAN" total_energy_ev_per_atom=-10.040 space_group=P2_1/c magmom_total_mub_per_fu=0.0 pbc="T T T"
Li 0.316 0.788 0.874
Li -1.267 2.402 6.874
Li 0.138 4.423 6.625
Li 1.722 5.146 0.625
Li 0.003 0.696 11.060
Li 1.587 2.494 5.060
Li 2.632 3.886 6.940
Li 4.215 5.684 0.940
Li 2.497 1.234 11.374
Li 4.080 1.956 5.375
Li 5.486 3.977 5.126
Li 3.903 5.592 11.126
Cu -1.056 0.345 4.942
Cu -2.640 2.845 10.941
Cu -1.843 4.379 8.887
Cu -0.259 5.191 2.887
Cu -0.341 3.417 10.587
Cu 1.243 6.153 4.587
Cu 0.696 0.728 6.957
Cu 2.280 2.462 0.958
Cu 2.659 0.748 2.692
Cu 1.075 2.442 8.692
Cu 3.143 3.938 3.308
Cu 1.560 5.632 9.308
Cu 1.939 3.918 11.042
Cu 3.522 5.652 5.042
Cu 2.976 0.227 7.412
Cu 4.559 2.963 1.413
Cu 4.478 1.189 9.113
Cu 6.061 2.001 3.113
Cu 6.858 3.535 1.058
Cu 5.275 6.035 7.058
O -1.690 4.249 7.085
O -0.107 5.321 1.085
O -1.854 4.539 10.718
O -0.270 5.031 4.718
O 2.453 0.571 0.865
O 0.870 2.619 6.864
O 3.083 4.128 1.478
O 1.500 5.441 7.478
O 2.719 0.939 4.522
O 1.135 2.251 10.521
O 3.349 3.761 5.135
O 1.766 5.809 11.135
O 4.489 1.349 7.281
O 6.072 1.841 1.282
O 4.325 1.059 10.914
O 5.909 2.131 4.914